Entry w
## In2TcBr (GGA-PBE)

Data for a relaxed structure of In2TcBr.

Unit cell a=3.4144 b=3.4144 c=26.1873 alpha=90.00 beta=90.00 gamma=120.00
Closest atoms and distances in Å follow each position.
Space group R-3m (No. 166, hexagonal axes)
Unique sites:
1 In 0.0000 0.0000 0.2414 (multiplicity 6)  3 Tc 2.78
2 Tc 0.0000 0.0000 0.5000 (multiplicity 3)  6 In 2.78
3 Br 0.0000 0.0000 0.0000 (multiplicity 3)  6 In 3.11, 6 Br 3.41

**Crystal system**: trigonal
**V**: 264.4 Å³/cell
**N(E_F)**: 9.21 states/eV per cell

Entry x
## In2TcBr (GGA-PBE)

Data for a relaxed structure of In2TcBr.

Unit cell a=3.2413 b=5.2825 c=5.5007 alpha=90.00 beta=90.00 gamma=90.00
Closest atoms and distances in Å follow each position.
Space group Pmmm (No. 47)
Unique sites:
1 In 0.0000 0.0000 0.0000 (multiplicity 1)  4 Br 3.10, 6 In 3.19-3.24
2 In 0.5000 0.0000 0.5000 (multiplicity 1)  4 Tc 3.10, 6 In 3.19-3.24
3 Tc 0.0000 0.5000 0.5000 (multiplicity 1)  4 In 3.10, 4 Br 3.19, 2 Tc 3.24
4 Br 0.5000 0.5000 0.0000 (multiplicity 1)  4 In 3.10, 4 Tc 3.19, 2 Br 3.24

**Crystal system**: orthorhombic
**V**: 94.2 Å³/cell
**N(E_F)**: 1.97 states/eV per cell

Entry y
## In2TcBr (GGA-PBE)

Data for a relaxed structure of In2TcBr.

Unit cell a=6.2117 b=6.2117 c=14.5534 alpha=90.00 beta=90.00 gamma=90.00
Closest atoms and distances in Å follow each position.
Space group I-42d (No. 122)
Unique sites:
1 In 0.1846 0.2500 0.1250 (multiplicity 8)  2 Tc 2.65
2 Tc 0.0000 0.0000 0.0000 (multiplicity 4)  4 In 2.65
3 Br 0.0000 0.0000 0.5000 (multiplicity 4)  4 In 3.09

**Crystal system**: tetragonal
**V**: 561.6 Å³/cell
**N(E_F)**: 15.95 states/eV per cell

Entry z
## In2TcBr (GGA-PBE)

Data for a relaxed structure of In2TcBr.

Unit cell a=3.1181 b=4.6470 c=13.6929 alpha=90.00 beta=90.00 gamma=90.00
Closest atoms and distances in Å follow each position.
Space group Imm2 (No. 44)
Unique sites:
1 In 0.0000 0.0000 0.0000 (multiplicity 2)  2 Tc 2.97, 4 In 3.12-3.24
2 In 0.0000 0.5000 0.1648 (multiplicity 2)  4 Tc 2.81, 2 In 3.12
3 Tc 0.0000 0.5000 0.6846 (multiplicity 2)  2 Br 2.58, 4 In 2.81
4 Br 0.0000 0.0000 0.3345 (multiplicity 2)  2 Tc 2.58

**Crystal system**: orthorhombic
**V**: 198.4 Å³/cell
**N(E_F)**: 6.89 states/eV per cell

Least stable: entry y

Entry w
## In2TcBr (GGA-PBE)

Data for a relaxed structure of In2TcBr.

Unit cell a=7.0151 b=7.0151 c=7.0151 alpha=90.00 beta=90.00 gamma=90.00
Closest atoms and distances in Å follow each position.
Space group F-43m (No. 216)
Unique sites:
1 In 0.0000 0.0000 0.0000 (multiplicity 4)  4 In 3.04, 4 Tc 3.04
2 In 0.2500 0.2500 0.2500 (multiplicity 4)  4 In 3.04, 4 Br 3.04
3 Tc 0.2500 0.2500 0.7500 (multiplicity 4)  4 In 3.04, 4 Br 3.04
4 Br 0.0000 0.0000 0.5000 (multiplicity 4)  4 In 3.04, 4 Tc 3.04

**Crystal system**: cubic
**V**: 345.2 Å³/cell
**N(E_F)**: 25.87 states/eV per cell

Entry x
## In2TcBr (GGA-PBE)

Data for a relaxed structure of In2TcBr.

Unit cell a=4.1645 b=4.1645 c=11.5125 alpha=90.00 beta=90.00 gamma=90.00
Closest atoms and distances in Å follow each position.
Space group I-4m2 (No. 119)
Unique sites:
1 In 0.0000 0.0000 0.0000 (multiplicity 2)  4 Br 2.94
2 In 0.0000 0.5000 0.2500 (multiplicity 2)  4 Tc 2.94
3 Tc 0.0000 0.5000 0.7500 (multiplicity 2)  4 In 2.94
4 Br 0.0000 0.0000 0.5000 (multiplicity 2)  4 In 2.94

**Crystal system**: tetragonal
**V**: 199.7 Å³/cell
**N(E_F)**: 5.21 states/eV per cell

Entry y
## In2TcBr (GGA-PBE)

Data for a relaxed structure of In2TcBr.

Unit cell a=10.6097 b=3.0852 c=6.3322 alpha=90.00 beta=114.56 gamma=90.00
Closest atoms and distances in Å follow each position.
Space group Cm (No. 8)
Unique sites:
1 In 0.0000 0.0000 0.0000 (multiplicity 2)  3 Tc 2.86-2.89, 2 In 3.09
2 In 0.1559 0.0000 0.6024 (multiplicity 2)  2 Tc 2.79, 1 Br 3.01, 2 In 3.09
3 Tc 0.2318 0.5000 0.0039 (multiplicity 2)  2 Br 2.53, 2 In 2.79
4 Br 0.3416 0.0000 0.3492 (multiplicity 2)  2 Tc 2.53

**Crystal system**: monoclinic
**V**: 188.5 Å³/cell
**N(E_F)**: 5.44 states/eV per cell

Least stable: entry w

Entry w
## InTc2Br (GGA-PBE)

Data for a relaxed structure of InTc2Br.

Unit cell a=4.2027 b=4.2027 c=8.0283 alpha=90.00 beta=90.00 gamma=90.00
Closest atoms and distances in Å follow each position.
Space group I-4m2 (No. 119)
Unique sites:
1 In 0.0000 0.0000 0.0000 (multiplicity 2)  4 Br 2.91, 8 Tc 2.91-2.97
2 Tc 0.0000 0.0000 0.5000 (multiplicity 2)  4 Tc 2.91, 4 Br 2.91, 4 In 2.97
3 Tc 0.0000 0.5000 0.7500 (multiplicity 2)  4 Tc 2.91, 4 In 2.91, 4 Br 2.97
4 Br 0.0000 0.5000 0.2500 (multiplicity 2)  4 In 2.91, 8 Tc 2.91-2.97

**Crystal system**: tetragonal
**V**: 141.8 Å³/cell
**N(E_F)**: 8.99 states/eV per cell

Entry x
## InTc2Br (GGA-PBE)

Data for a relaxed structure of InTc2Br.

Unit cell a=4.6350 b=4.6350 c=3.1739 alpha=90.00 beta=90.00 gamma=90.00
Closest atoms and distances in Å follow each position.
Space group P4/mmm (No. 123)
Unique sites:
1 In 0.0000 0.0000 0.0000 (multiplicity 1)  8 Tc 2.81
2 Tc 0.0000 0.5000 0.5000 (multiplicity 2)  4 In 2.81, 4 Br 2.81
3 Br 0.5000 0.5000 0.0000 (multiplicity 1)  8 Tc 2.81

**Crystal system**: tetragonal
**V**: 68.2 Å³/cell
**N(E_F)**: 5.10 states/eV per cell

Least stable: entry w

Entry w
## InTcBr (GGA-PBE)

Data for a relaxed structure of InTcBr.

Unit cell a=4.6382 b=4.6382 c=3.2184 alpha=90.00 beta=90.00 gamma=120.00
Closest atoms and distances in Å follow each position.
Space group P-6m2 (No. 187)
Unique sites:
1 In 0.0000 0.0000 0.0000 (multiplicity 1)  6 Tc 3.12, 6 Br 3.12, 2 In 3.22
2 Tc 0.6667 0.3333 0.5000 (multiplicity 1)  3 Br 2.68
3 Br 0.3333 0.6667 0.5000 (multiplicity 1)  3 Tc 2.68

**Crystal system**: hexagonal
**V**: 60.0 Å³/cell
**N(E_F)**: 2.75 states/eV per cell

Entry x
## InTcBr (GGA-PBE)

Data for a relaxed structure of InTcBr.

Unit cell a=3.1205 b=3.1205 c=13.3802 alpha=90.00 beta=90.00 gamma=90.00
Closest atoms and distances in Å follow each position.
Space group I4mm (No. 107)
Unique sites:
1 In 0.0000 0.0000 0.0000 (multiplicity 2)  4 Tc 3.00, 4 In 3.12
2 Tc 0.0000 0.0000 0.3486 (multiplicity 2)  4 Br 2.63
3 Br 0.0000 0.0000 0.7421 (multiplicity 2)  4 Tc 2.63

**Crystal system**: tetragonal
**V**: 130.3 Å³/cell
**N(E_F)**: 6.30 states/eV per cell

Entry y
## InTcBr (GGA-PBE)

Data for a relaxed structure of InTcBr.

Unit cell a=6.5996 b=6.5996 c=6.5996 alpha=90.00 beta=90.00 gamma=90.00
Closest atoms and distances in Å follow each position.
Space group F-43m (No. 216)
Unique sites:
1 In 0.0000 0.0000 0.0000 (multiplicity 4)  4 Tc 2.86
2 Tc 0.2500 0.2500 0.7500 (multiplicity 4)  4 In 2.86, 4 Br 2.86
3 Br 0.0000 0.0000 0.5000 (multiplicity 4)  4 Tc 2.86

**Crystal system**: cubic
**V**: 287.4 Å³/cell
**N(E_F)**: 8.07 states/eV per cell

Least stable: entry y

Entry w
## InTc3Br (GGA-PBE)

Data for a relaxed structure of InTc3Br.

Unit cell a=5.1748 b=5.1748 c=5.1748 alpha=90.00 beta=90.00 gamma=90.00
Closest atoms and distances in Å follow each position.
Space group Pm-3m (No. 221)
Unique sites:
1 In 0.0000 0.0000 0.0000 (multiplicity 1)  6 Tc 2.59
2 Tc 0.0000 0.0000 0.5000 (multiplicity 3)  2 In 2.59
3 Br 0.5000 0.5000 0.5000 (multiplicity 1)  12 Tc 3.66

**Crystal system**: cubic
**V**: 138.6 Å³/cell
**N(E_F)**: 4.76 states/eV per cell

Entry x
## InTc3Br (GGA-PBE)

Data for a relaxed structure of InTc3Br.

Unit cell a=4.5779 b=4.5779 c=4.5779 alpha=90.00 beta=90.00 gamma=90.00
Closest atoms and distances in Å follow each position.
Space group Pm-3m (No. 221)
Unique sites:
1 In 0.0000 0.0000 0.0000 (multiplicity 1)  12 Tc 3.24
2 Tc 0.0000 0.5000 0.5000 (multiplicity 3)  2 Br 2.29
3 Br 0.5000 0.5000 0.5000 (multiplicity 1)  6 Tc 2.29

**Crystal system**: cubic
**V**: 95.9 Å³/cell
**N(E_F)**: 4.40 states/eV per cell

Least stable: entry w

Entry w
## InTeBr2 (GGA-PBE)

Data for a relaxed structure of InTeBr2.

Unit cell a=4.3790 b=7.6757 c=9.0250 alpha=90.00 beta=90.00 gamma=90.00
Closest atoms and distances in Å follow each position.
Space group Cmm2 (No. 35)
Unique sites:
1 In 0.0000 0.0000 0.0000 (multiplicity 2)  2 Te 2.88, 2 Br 2.89
2 Te 0.0000 0.5000 0.2079 (multiplicity 2)  2 In 2.88, 2 Br 2.89
3 Br 0.0000 0.0000 0.4161 (multiplicity 2)  2 Te 2.89
4 Br 0.0000 0.5000 0.7913 (multiplicity 2)  2 In 2.89

**Crystal system**: orthorhombic
**V**: 303.3 Å³/cell
**N(E_F)**: 5.21 states/eV per cell

Entry x
## InTeBr2 (GGA-PBE)

Data for a relaxed structure of InTeBr2.

Unit cell a=7.0502 b=8.2918 c=5.6845 alpha=90.00 beta=127.88 gamma=90.00
Closest atoms and distances in Å follow each position.
Space group C2/m (No. 12)
Unique sites:
1 In 0.0000 0.0000 0.0000 (multiplicity 2)  4 Br 3.05
2 Te 0.0000 0.5000 0.0000 (multiplicity 2)  4 Br 3.05
3 Br 0.2500 0.2500 0.5000 (multiplicity 4)  2 In 3.05, 2 Te 3.05

**Crystal system**: monoclinic
**V**: 262.3 Å³/cell
**N(E_F)**: 5.86 states/eV per cell

Entry y
## InTeBr2 (GGA-PBE)

Data for a relaxed structure of InTeBr2.

Unit cell a=13.5734 b=3.6892 c=5.7513 alpha=90.00 beta=91.99 gamma=90.00
Closest atoms and distances in Å follow each position.
Space group C2/m (No. 12)
Unique sites:
1 In 0.0000 0.0000 0.0000 (multiplicity 2)  4 Br 3.30, 4 Te 3.42, 2 In 3.69
2 Te 0.0000 0.5000 0.5000 (multiplicity 2)  2 Br 2.73
3 Br 0.1711 0.5000 0.7626 (multiplicity 4)  1 Te 2.73

**Crystal system**: monoclinic
**V**: 287.8 Å³/cell
**N(E_F)**: 3.44 states/eV per cell

Entry z
## InTeBr2 (GGA-PBE)

Data for a relaxed structure of InTeBr2.

Unit cell a=3.8199 b=3.8199 c=29.4244 alpha=90.00 beta=90.00 gamma=120.00
Closest atoms and distances in Å follow each position.
Space group R-3m (No. 166, hexagonal axes)
Unique sites:
1 In 0.0000 0.0000 0.0000 (multiplicity 3)  6 Br 2.89
2 Te 0.0000 0.0000 0.5000 (multiplicity 3)  6 Br 3.75, 6 Te 3.82
3 Br 0.0000 0.0000 0.2699 (multiplicity 6)  3 In 2.89

**Crystal system**: trigonal
**V**: 371.8 Å³/cell
**N(E_F)**: 9.60 states/eV per cell

Least stable: entry z